# 1
The following is a DFT calculation (PBE-GGA) of an optimized crystal structure of La6Ga2Pt.

```
data_La6Ga2Pt
_cell_length_a 4.557
_cell_length_b 14.233
_cell_length_c 8.223
_cell_angle_alpha 90.00
_cell_angle_beta 90.00
_cell_angle_gamma 90.00
_space_group_name_H-M_alt 'A m m 2'
_space_group_IT_number 38
loop_
_space_group_symop_operation_xyz
'x,y,z'
'-x,-y,z'
'-x,y,z'
'x,-y,z'
'x,y+1/2,z+1/2'
'-x,-y+1/2,z+1/2'
'-x,y+1/2,z+1/2'
'x,-y+1/2,z+1/2'
loop_
_atom_site_label
_atom_site_type_symbol
_atom_site_fract_x
_atom_site_fract_y
_atom_site_fract_z
La1 La 0.000 0.000 0.000
La2 La 0.000 0.126 0.623
La3 La 0.500 0.000 0.330
La4 La 0.500 0.209 0.957
Ga1 Ga 0.000 0.167 0.248
Pt1 Pt 0.500 0.000 0.749
```

Values from the calculation:
The raw total energy comes out at -5.18 eV per atom. Its size of the total moment is 0.0 μB/f.u. The calculated formation energy comes out at -548 meV/atom. For the density, the calculation gives 7.3 Mg/m³.

# 2
The following is a DFT calculation (PBE-GGA) of an optimized crystal structure of Li2ZrPb.

```
data_Li2ZrPb
_cell_length_a 3.127
_cell_length_b 4.539
_cell_length_c 6.026
_cell_angle_alpha 90.00
_cell_angle_beta 90.00
_cell_angle_gamma 90.00
_space_group_name_H-M_alt 'P m m m'
_space_group_IT_number 47
loop_
_space_group_symop_operation_xyz
'x,y,z'
'-x,-y,-z'
'-x,-y,z'
'x,y,-z'
'x,-y,-z'
'-x,y,z'
'-x,y,-z'
'x,-y,z'
loop_
_atom_site_label
_atom_site_type_symbol
_atom_site_fract_x
_atom_site_fract_y
_atom_site_fract_z
Li1 Li 0.000 0.000 0.245
Zr1 Zr 0.500 0.500 0.500
Pb1 Pb 0.500 0.500 0.000
```

Values from the calculation:
The raw total energy comes out at -4.00 eV per atom. Its size of the total moment is 0.0 μB/f.u. The calculated formation energy comes out at 20 meV/atom. For the density, the calculation gives 6.1 Mg/m³.

# 3
The following is a DFT calculation (PBE-GGA) of an optimized crystal structure of MoN.

```
data_MoN
_cell_length_a 3.086
_cell_length_b 10.040
_cell_length_c 4.947
_cell_angle_alpha 90.00
_cell_angle_beta 90.00
_cell_angle_gamma 90.00
_space_group_name_H-M_alt 'P m m n'
_space_group_IT_number 59
loop_
_space_group_symop_operation_xyz
'x,y,z'
'-x,-y,-z'
'-x+1/2,-y+1/2,z'
'x+1/2,y+1/2,-z'
'x+1/2,-y,-z'
'-x+1/2,y,z'
'-x,y+1/2,-z'
'x,-y+1/2,z'
loop_
_atom_site_label
_atom_site_type_symbol
_atom_site_fract_x
_atom_site_fract_y
_atom_site_fract_z
Mo1 Mo 0.250 0.109 0.025
Mo2 Mo 0.250 0.750 0.399
N1 N 0.250 0.250 0.323
N2 N 0.250 0.568 0.245
```

Values from the calculation:
The raw total energy comes out at -9.78 eV per atom. Its size of the total moment is 0.0 μB/f.u. The calculation puts the raw formation energy at -197 meV per atom. For the density, the calculation gives 7.1 Mg/m³.

# 4
The following is a DFT calculation (PBE-GGA) of an optimized crystal structure of La2MnTe.

```
data_La2MnTe
_cell_length_a 8.054
_cell_length_b 8.054
_cell_length_c 6.526
_cell_angle_alpha 90.00
_cell_angle_beta 90.00
_cell_angle_gamma 90.00
_space_group_name_H-M_alt 'I -4 2 d'
_space_group_IT_number 122
_space_group_name_Hall 'I -4 2bw'
loop_
_atom_site_label
_atom_site_type_symbol
_atom_site_fract_x
_atom_site_fract_y
_atom_site_fract_z
La1 La 0.168 0.250 0.125
Mn1 Mn 0.000 0.000 0.000
Te1 Te 0.000 0.000 0.500
```

Values from the calculation:
The raw total energy comes out at -5.73 eV per atom. Its size of the total moment is 0.0 μB/f.u. The calculation puts the raw formation energy at -186 meV per atom. For the density, the calculation gives 7.2 Mg/m³.